Material: AcTb5Pr
Method: DFT, GGA-PBE
State: optimized geometry

Its total energy is -125.54 eV for the cell shown. The density of states at the Fermi level comes out at 43.246 states/eV per cell. As for the total magnetization: 0.00 μB per formula unit.

a b c (Å): 8.987 9.948 11.637
angles (deg): 90.00 110.09 90.00
Space group C2/c (No. 15)
Inequivalent atoms, fractional coordinates:
Ac  0.250  0.250  0.000
Tb  0.000  0.075  0.750
Tb  0.127  0.424  0.667
Tb  0.169  0.103  0.535
Pr  0.000  0.266  0.250

Material: Sr3In3Cu2
Method: DFT, GGA-PBE
State: optimized geometry

Its total energy is -23.91 eV for the cell shown. The density of states at the Fermi level comes out at 3.838 states/eV per cell. As for the total magnetization: 0.00 μB per formula unit.

a b c (Å): 4.364 5.744 9.579
angles (deg): 99.66 103.15 90.15
Space group P-1 (No. 2)
Inequivalent atoms, fractional coordinates:
Sr  0.000  0.000  0.000
Sr  0.157  0.574  0.314
In  0.355  0.921  0.711
In  0.500  0.500  0.000
Cu  0.229  0.091  0.456

Material: Mn2AlAu8
Method: DFT, GGA-PBE
State: optimized geometry

Its total energy is -99.19 eV for the cell shown. The density of states at the Fermi level comes out at 6.059 states/eV per cell. As for the total magnetization: 8.41 μB per formula unit.

a b c (Å): 14.341 4.279 6.540
angles (deg): 90.00 108.85 90.00
Space group C2/m (No. 12)
Inequivalent atoms, fractional coordinates:
Mn  0.219  0.000  0.146
Al  0.000  0.500  0.500
Au  0.039  0.000  0.236
Au  0.099  0.500  0.942
Au  0.150  0.000  0.701
Au  0.174  0.500  0.411

| no. | E_form (eV per atom) |
| --- | --- |
| 1 | 0.093 |
| 2 | -0.307 |
| 3 | -0.118 |